# 1
The following is a DFT calculation (PBE) of a relaxed structure of LaReMo2.

Properties
As for the space group: Cmmm (65). The energy above the lowest structure with this stoichiometry comes out at 433 meV per atom. The formation energy is 816 meV/atom. Its crystal system is orthorhombic.

a = 5.673 Å, b = 5.673 Å, c = 2.759 Å
α = 90.00°, β = 90.00°, γ = 123.04°
Fractional coordinates of all 4 atoms:
Mo: 0.500 0.500 0.000
Mo: 0.000 0.000 0.000
Re: 0.500 0.000 0.500
La: 0.000 0.500 0.500


# 2
The following is a DFT calculation (PBE) of a relaxed structure of TiBe3Ga.

Properties
As for the space group: Pm-3m (221). The energy above the lowest structure with this stoichiometry comes out at 834 meV per atom. The formation energy is 1553 meV/atom. Its crystal system is cubic.

a = 4.481 Å, b = 4.481 Å, c = 4.481 Å
α = 90.00°, β = 90.00°, γ = 90.00°
Each line ends with the local moment (μB).
Fractional coordinates of all 5 atoms:
Ti: 0.000 0.000 0.000  0.42
Be: 0.500 0.000 0.000  0.05
Be: 0.000 0.500 0.000  0.04
Be: 0.000 0.000 0.500  0.00
Ga: 0.500 0.500 0.500  -0.01


# 3
The following is a DFT calculation (PBE) of a relaxed structure of LiBF6.

Properties
As for the space group: Fm-3m (225). The formation energy (no corrections) is -1.7608 eV per atom. Its crystal system is cubic.

a = 5.108 Å, b = 5.108 Å, c = 5.108 Å
α = 60.00°, β = 60.00°, γ = 60.00°
Each line ends with the local moment (μB).
Fractional coordinates of all 8 atoms:
F: 0.780 0.220 0.220  0.31
F: 0.220 0.780 0.220  0.31
F: 0.220 0.220 0.780  0.31
F: 0.780 0.220 0.780  0.31
F: 0.220 0.780 0.780  0.31
F: 0.780 0.780 0.220  0.31
B: 0.000 0.000 0.000  -0.02
Li: 0.500 0.500 0.500  0.00


# 4
The following is a DFT calculation (PBE) of a relaxed structure of BaNb2V.

Properties
As for the space group: Fm-3m (225). The energy above the lowest structure with this stoichiometry comes out at 0 meV per atom. The formation energy is 1150 meV/atom. Its crystal system is cubic.

a = 4.884 Å, b = 4.884 Å, c = 4.884 Å
α = 60.00°, β = 60.00°, γ = 60.00°
Each line ends with the local moment (μB).
Fractional coordinates of all 4 atoms:
Nb: 0.750 0.750 0.750  -0.01
Nb: 0.250 0.250 0.250  -0.01
Ba: 0.500 0.500 0.500  0.00
V: 0.000 0.000 0.000  0.43


# 5
The following is a DFT calculation (PBE) of a relaxed structure of TbBiH6Ir2.

Properties
As for the space group: C2/c (15). Its crystal system is monoclinic.

a = 7.349 Å, b = 7.349 Å, c = 4.565 Å
α = 90.05°, β = 90.05°, γ = 112.89°
Fractional coordinates of all 20 atoms:
H: 0.874 0.874 0.000
H: 0.430 0.065 0.978
H: 0.126 0.126 0.500
H: 0.431 0.066 0.521
H: 0.066 0.431 0.021
H: 0.570 0.935 0.022
H: 0.569 0.934 0.479
H: 0.065 0.430 0.478
H: 0.935 0.570 0.522
H: 0.934 0.569 0.979
H: 0.874 0.874 0.500
H: 0.126 0.126 0.000
Tb: 0.848 0.152 0.750
Tb: 0.152 0.848 0.250
Bi: 0.405 0.595 0.750
Bi: 0.595 0.405 0.250
Ir: 0.679 0.841 0.250
Ir: 0.841 0.679 0.750
Ir: 0.159 0.321 0.250
Ir: 0.321 0.159 0.750


# 6
The following is a DFT calculation (PBE) of a relaxed structure of EuTm2Hg.

Properties
As for the space group: P4/mmm (123). The energy above the lowest structure with this stoichiometry comes out at 58 meV per atom. The formation energy is -100 meV/atom. Its crystal system is tetragonal.

a = 4.765 Å, b = 4.862 Å, c = 4.862 Å
α = 90.00°, β = 90.00°, γ = 90.00°
Each line ends with the local moment (μB).
Fractional coordinates of all 4 atoms:
Tm: 0.000 0.500 0.000  0.07
Tm: 0.000 0.000 0.500  0.07
Hg: 0.500 0.000 0.000  -0.01
Eu: 0.500 0.500 0.500  6.83


no.,energy (eV/atom)
1,-8.94
2,-2.87
3,-4.24
4,-6.65
5,-4.84
6,-4.98